DFT (PBE-GGA) results for crystalline AgSnTe at its relaxed geometry.

Structure (CIF):
```
data_AgSnTe
_space_group_name_H-M_alt 'I 4 m m'
_space_group_IT_number 107
_space_group_name_Hall 'I 4 -2'
_cell_length_a 4.080
_cell_length_b 4.080
_cell_length_c 12.836
_cell_angle_alpha 90.00
_cell_angle_beta 90.00
_cell_angle_gamma 90.00
loop_
_atom_site_label
_atom_site_fract_x
_atom_site_fract_y
_atom_site_fract_z
Ag1 0.000 0.000 0.000
Sn1 0.000 0.000 0.209
Te1 0.000 0.000 0.789
```

Values from the calculation:
Calculated density: 5.5 g/cm³
E_form (uncorrected): 0.120 eV per atom
Size of the total moment: 0.00 μB per formula unit